A plane-wave DFT calculation with PBE was carried out for crystalline Sm3AgHg3Au2 at its relaxed geometry.

Values from the calculation:
Formation energy ... -590.5 meV per atom
Spin magnetization ... 0.011 Bohr magnetons per cell

Unit cell a=8.0944 b=8.0944 c=3.7928 alpha=90.00 beta=90.00 gamma=120.00
Atoms (fractional coordinates):
Sm: 0.6004 0.6004 0.0000
Sm: 0.0000 0.3996 0.0000
Sm: 0.3996 0.0000 0.0000
Au: 0.6667 0.3333 0.5000
Au: 0.3333 0.6667 0.5000
Ag: 0.0000 0.0000 0.0000
Hg: 0.2715 0.2715 0.5000
Hg: 0.0000 0.7285 0.5000
Hg: 0.7285 0.0000 0.5000


A plane-wave DFT calculation with PBE was carried out for crystalline CsTe2MoAuS at its relaxed geometry.

Values from the calculation:
VASP energy ... -4.44 eV/atom
Spin magnetization ... 4.138 Bohr magnetons per cell

Unit cell a=8.9201 b=8.9201 c=10.2329 alpha=90.00 beta=90.00 gamma=153.28
Atoms (fractional coordinates):
Te: 0.1125 0.8875 0.9795
Te: 0.8875 0.1125 0.4795
Te: 0.8875 0.1125 0.0205
Te: 0.1125 0.8875 0.5205
S: 0.4530 0.5470 0.7500
S: 0.5470 0.4530 0.2500
Mo: 0.5000 0.5000 0.0000
Mo: 0.5000 0.5000 0.5000
Au: 0.9620 0.0380 0.2500
Au: 0.0380 0.9620 0.7500
Cs: 0.7431 0.2570 0.7500
Cs: 0.2570 0.7431 0.2500


A plane-wave DFT calculation with PBE was carried out for crystalline Fe2SnPt at its relaxed geometry.

Values from the calculation:
VASP energy ... -6.75 eV/atom
Spin magnetization ... 5.431 Bohr magnetons per cell

Unit cell a=4.4169 b=4.4169 c=4.4169 alpha=60.00 beta=60.00 gamma=60.00
Atoms (fractional coordinates):
Fe: 0.0000 0.0000 0.0000
Fe: 0.7500 0.7500 0.7500
Pt: 0.2500 0.2500 0.2500
Sn: 0.5000 0.5000 0.5000


A plane-wave DFT calculation with PBE was carried out for crystalline Cu3SbS3 at its relaxed geometry.

Values from the calculation:
Polymorph energy (0 for the lowest one) ... 2.5 meV/atom

Unit cell a=7.7756 b=10.2580 c=13.4244 alpha=90.00 beta=90.11 gamma=90.00
Atoms (fractional coordinates):
Cu: 0.7767 0.3981 0.0767
Cu: 0.7767 0.1019 0.5767
Cu: 0.5628 0.5321 0.9011
Cu: 0.4372 0.0321 0.5989
Cu: 0.1550 0.4045 0.2007
Cu: 0.7016 0.6039 0.3300
Cu: 0.6585 0.1035 0.0494
Cu: 0.2984 0.3961 0.6700
Cu: 0.0536 0.9559 0.8605
Cu: 0.9464 0.0441 0.1395
Cu: 0.6585 0.3965 0.5494
Cu: 0.4372 0.4679 0.0989
Cu: 0.2233 0.6019 0.9233
Cu: 0.2233 0.8981 0.4233
Cu: 0.2984 0.1039 0.1700
Cu: 0.8450 0.5955 0.7993
Cu: 0.7016 0.8961 0.8300
Cu: 0.3415 0.6035 0.4506
Cu: 0.0536 0.5441 0.3605
Cu: 0.5628 0.9679 0.4011
Cu: 0.8450 0.9045 0.2993
Cu: 0.1550 0.0955 0.7007
Cu: 0.3415 0.8965 0.9506
Cu: 0.9464 0.4559 0.6395
S: 0.9428 0.2397 0.6709
S: 0.3133 0.0693 0.8410
S: 0.4456 0.2477 0.0751
S: 0.6867 0.5693 0.6590
S: 0.5544 0.7523 0.9249
S: 0.3133 0.4307 0.3410
S: 0.8234 0.0736 0.4108
S: 0.3289 0.0716 0.3355
S: 0.1766 0.9264 0.5892
S: 0.3289 0.4284 0.8355
S: 0.8179 0.0696 0.9115
S: 0.4456 0.2523 0.5751
S: 0.1821 0.9304 0.0885
S: 0.6711 0.5716 0.1645
S: 0.6867 0.9307 0.1590
S: 0.5544 0.7477 0.4249
S: 0.8234 0.4264 0.9108
S: 0.8179 0.4304 0.4115
S: 0.1821 0.5696 0.5885
S: 0.1766 0.5736 0.0892
S: 0.9428 0.2603 0.1709
S: 0.0572 0.7397 0.8291
S: 0.0572 0.7603 0.3291
S: 0.6711 0.9284 0.6645
Sb: 0.2912 0.7543 0.1981
Sb: 0.2090 0.2465 0.4457
Sb: 0.7910 0.7535 0.5543
Sb: 0.7088 0.2457 0.8019
Sb: 0.7088 0.2543 0.3019
Sb: 0.2912 0.7457 0.6981
Sb: 0.2090 0.2535 0.9457
Sb: 0.7910 0.7465 0.0543


A plane-wave DFT calculation with PBE was carried out for crystalline TbDyTl2 at its relaxed geometry.

Values from the calculation:
VASP energy ... -3.83 eV/atom
Spin magnetization ... 0.013 Bohr magnetons per cell

Unit cell a=3.7848 b=3.7848 c=7.5556 alpha=90.00 beta=90.00 gamma=90.00
Atoms (fractional coordinates):
Tb: 0.0000 0.0000 0.5000
Tl: 0.5000 0.5000 0.2486
Tl: 0.5000 0.5000 0.7514
Dy: 0.0000 0.0000 0.0000


A plane-wave DFT calculation with PBE was carried out for crystalline YPdNO at its relaxed geometry.

Values from the calculation:
Spin magnetization ... 0.001 Bohr magnetons per cell
Polymorph energy (0 for the lowest one) ... 60.3 meV/atom

Unit cell a=4.1523 b=4.1523 c=7.1412 alpha=90.00 beta=90.00 gamma=90.00
Atoms (fractional coordinates):
Y: 0.0000 0.5000 0.1325
Y: 0.5000 0.0000 0.8675
Pd: 0.5000 0.5000 0.5000
Pd: 0.0000 0.0000 0.5000
O: 0.5000 0.5000 0.0000
O: 0.0000 0.0000 0.0000
N: 0.0000 0.5000 0.4467
N: 0.5000 0.0000 0.5533


A plane-wave DFT calculation with PBE was carried out for crystalline LuCdCuSn at its relaxed geometry.

Values from the calculation:
VASP energy ... -3.42 eV/atom
Spin magnetization ... 0.001 Bohr magnetons per cell

Unit cell a=4.9097 b=4.9097 c=4.9097 alpha=60.00 beta=60.00 gamma=60.00
Atoms (fractional coordinates):
Cd: 0.2500 0.2500 0.2500
Cu: 0.7500 0.7500 0.7500
Lu: 0.5000 0.5000 0.5000
Sn: 0.0000 0.0000 0.0000


A plane-wave DFT calculation with PBE was carried out for crystalline HoF4 at its relaxed geometry.

Values from the calculation:
VASP energy ... -5.53 eV/atom
Spin magnetization ... 0.000 Bohr magnetons per cell

Unit cell a=5.9388 b=5.9388 c=4.6454 alpha=96.70 beta=96.70 gamma=118.51
Atoms (fractional coordinates):
F: 0.1091 0.1091 0.7928
F: 0.5917 0.5917 0.4226
F: 0.4083 0.4083 0.5774
F: 0.1113 0.5427 0.2682
F: 0.8909 0.8909 0.2072
F: 0.5427 0.1113 0.2682
F: 0.4573 0.8887 0.7318
F: 0.8887 0.4573 0.7318
Ho: 0.8289 0.1711 0.0000
Ho: 0.1711 0.8289 0.0000